[1]
## LaPu2Tl (PBE)

Data for a geometry-optimized LaPu2Tl structure.

Cell lengths 5.1647, 4.7126, 4.7126 Å; angles 90.00, 90.00, 90.00 degrees
Element x y z (fractional)
Tl: 0.5000 0.0000 0.0000
Pu: 0.0000 0.5000 0.0000
Pu: 0.0000 0.0000 0.5000
La: 0.5000 0.5000 0.5000

Summary:
The formation energy from the elements comes out at -0.03 eV per atom. The total energy is -36.079 eV/f.u.

***

[2]
## Li2CaTa (PBE)

Data for a geometry-optimized Li2CaTa structure.

Cell lengths 4.8549, 2.8392, 6.2594 Å; angles 76.68, 90.00, 90.00 degrees
Element x y z (fractional)
Li: 0.0000 0.1768 0.0167
Li: 0.5000 0.0572 0.2686
Ca: 0.5000 0.8071 0.7564
Ta: 0.0000 0.4589 0.4583

Summary:
The formation energy from the elements comes out at 0.60 eV per atom. The total energy is -15.294 eV/f.u. As for the excess energy over the best structure of this formula in the dataset: 0.59 eV per formula unit.